Record 1
PmMg5Ga3 PBE relaxed; ΔE_f = -171 meV per atom
1.0
-1.848 -1.094 -2.726
2.792 -6.598 2.964
-12.307 -1.236 8.840
Ga Mg Pm
6 10 2
Direct
0.158 0.315 0.750
0.373 0.746 0.575
0.373 0.746 0.925
0.627 0.254 0.425
0.842 0.685 0.250
0.627 0.254 0.075
0.807 0.614 0.068
0.000 0.000 0.000
0.461 0.921 0.156
0.539 0.079 0.656
0.461 0.921 0.344
0.539 0.079 0.844
0.193 0.386 0.568
0.000 0.000 0.500
0.193 0.386 0.932
0.807 0.614 0.432
0.165 0.330 0.250
0.835 0.670 0.750



Record 2
CeSmInIr PBE relaxed; ΔE_f = -388 meV per atom
1.0
-0.612 -1.384 4.960
-2.407 -4.441 1.175
2.703 -3.981 1.934
Ce In Sm Ir
1 1 1 1
Direct
0.750 0.750 0.750
0.500 0.500 0.500
0.250 0.250 0.250
0.000 0.000 0.000



Record 3
Ba2Li3HfF12 PBE relaxed; ΔE_f (raw) = -3187.0 meV per atom
1.0
8.137 1.007 0.714
4.894 6.578 0.714
4.894 2.849 5.972
F Li Ba Hf
12 3 2 1
Direct
0.843 0.279 0.279
0.124 0.124 0.631
0.631 0.124 0.124
0.369 0.876 0.876
0.721 0.721 0.157
0.157 0.721 0.721
0.124 0.631 0.124
0.876 0.369 0.876
0.721 0.157 0.721
0.876 0.876 0.369
0.279 0.843 0.279
0.279 0.279 0.843
0.000 0.500 0.000
0.000 0.000 0.500
0.500 0.000 0.000
0.602 0.602 0.602
0.398 0.398 0.398
0.000 0.000 0.000



Record 4
Al4VCu PBE relaxed; ΔE_f = -128 meV per atom
1.0
4.573 0.000 -0.014
0.000 4.573 0.000
0.027 0.000 8.412
V Al Cu
2 8 2
Direct
0.500 0.000 0.500
0.000 0.500 0.500
0.500 0.000 0.161
0.000 0.500 0.839
0.500 0.500 0.339
0.000 0.000 0.661
0.500 0.500 0.661
0.500 0.000 0.839
0.000 0.500 0.161
0.000 0.000 0.339
0.500 0.500 0.000
0.000 0.000 0.000



Record 5
Er5Co4 PBE relaxed; ΔE_f = -220 meV per atom
1.0
-2.802 0.206 -2.839
-2.236 -5.053 -0.970
-7.770 -0.330 4.836
Er Co
5 4
Direct
0.764 0.651 0.821
0.000 0.000 0.000
0.236 0.349 0.179
0.110 0.176 0.604
0.890 0.824 0.396
0.405 0.579 0.612
0.595 0.421 0.388
0.455 0.256 0.834
0.545 0.744 0.166



Record 6
Dy2Y8Zr PBE relaxed; ΔE_f = 50 meV per atom
1.0
4.812 0.000 -1.281
-0.519 7.639 -1.948
-0.091 -0.075 9.333
Y Zr Dy
8 1 2
Direct
0.589 0.444 0.179
0.956 0.262 0.911
0.411 0.556 0.821
0.868 0.824 0.736
0.679 0.911 0.357
0.132 0.176 0.264
0.321 0.089 0.643
0.044 0.738 0.089
0.500 0.000 0.000
0.774 0.366 0.547
0.226 0.634 0.453



Record 7
SrAuCl6 PBE relaxed; ΔE_f (raw) = -943.8 meV per atom
1.0
-4.092 1.291 -4.341
-3.516 -5.163 -4.701
-5.496 -1.668 2.631
Cl Sr Au
6 1 1
Direct
0.748 0.027 0.747
0.252 0.973 0.253
0.993 0.661 0.319
0.587 0.250 0.167
0.007 0.339 0.681
0.413 0.750 0.833
0.500 0.500 0.500
0.000 0.000 0.000



Record 8
CaBeAs2 PBE relaxed; ΔE_f = -652 meV per atom
1.0
-3.668 0.842 -0.804
-0.711 -3.725 -0.658
-2.493 -1.295 10.020
Ca As Be
2 4 2
Direct
0.500 0.000 0.727
0.000 0.500 0.273
0.000 0.500 0.869
0.000 0.000 0.500
0.500 0.500 0.500
0.500 0.000 0.131
0.000 0.000 0.000
0.500 0.500 0.000



Record 9
Zr2Si PBE relaxed; ΔE_f (raw) = -540.9 meV per atom
1.0
5.225 0.000 0.008
0.000 3.687 0.000
-2.444 0.000 12.601
Zr Si
8 4
Direct
0.218 0.500 0.428
0.218 0.000 0.928
0.782 0.000 0.072
0.328 0.500 0.142
0.328 0.000 0.642
0.782 0.500 0.572
0.672 0.000 0.358
0.672 0.500 0.858
0.153 0.500 0.769
0.847 0.500 0.231
0.153 0.000 0.269
0.847 0.000 0.731



Record 10
SrTcN2F PBE relaxed; ΔE to the lowest computed polymorph = 2140 meV/atom; ΔE_f (raw) = 1210.0 meV per atom
1.0
4.787 0.000 0.000
0.000 4.787 0.000
0.000 0.000 4.410
F Sr N Tc
1 1 2 1
Direct
0.000 0.000 0.500
0.000 0.000 0.000
0.500 0.000 0.000
0.000 0.500 0.000
0.500 0.500 0.500



Record 11
Ba2ScMnAl PBE relaxed; ΔE_f = 747 meV per atom
1.0
-5.707 -2.944 0.679
1.948 -4.694 -3.983
1.923 -2.760 4.194
Mn Ba Al Sc
1 2 1 1
Direct
0.500 0.500 0.500
0.500 0.000 0.000
0.000 0.500 0.000
0.000 0.000 0.000
0.000 0.000 0.500



Record 12
VRuRh PBE relaxed; ΔE to the lowest computed polymorph = 62 meV/atom; ΔE_f = -221 meV per atom
1.0
-3.869 -3.229 -0.879
1.614 -0.738 -4.393
7.113 -2.444 3.023
Ru Rh V
4 4 4
Direct
0.998 0.272 0.828
0.002 0.772 0.672
0.998 0.772 0.328
0.002 0.272 0.172
0.502 0.951 0.670
0.498 0.451 0.830
0.502 0.451 0.170
0.498 0.951 0.330
0.000 0.769 0.000
0.500 0.458 0.500
0.000 0.269 0.500
0.500 0.958 0.000